(1)
The following is a PBE calculation of a geometry-optimized Cs2HPd structure, from the Alexandria database.

CIF file:
```
data_Cs2HPd
_chemical_formula_sum 'Cs6 H3 Pd3'
_cell_length_a 4.0998
_cell_length_b 4.0998
_cell_length_c 29.2394
_cell_angle_alpha 90.00
_cell_angle_beta 90.00
_cell_angle_gamma 120.00
_space_group_name_H-M_alt 'R -3 m'
_space_group_IT_number 166
_space_group_name_Hall '-R 3 2"'
loop_
_atom_site_label
_atom_site_type_symbol
_atom_site_fract_x
_atom_site_fract_y
_atom_site_fract_z
Cs1 Cs 0.0000 0.0000 0.1025
H1 H 0.0000 0.0000 0.5000
Pd1 Pd 0.0000 0.0000 0.0000
```

Energy above the lowest structure with this stoichiometry: 35.30 kJ/mol of atoms
Crystal system: trigonal

---

(2)
The following is a PBE calculation of a geometry-optimized CsH2Pd structure, from the Alexandria database.

CIF file:
```
data_CsH2Pd
_chemical_formula_sum 'Cs3 H6 Pd3'
_cell_length_a 3.3939
_cell_length_b 3.3939
_cell_length_c 18.4625
_cell_angle_alpha 90.00
_cell_angle_beta 90.00
_cell_angle_gamma 120.00
_space_group_name_H-M_alt 'R -3 m'
_space_group_IT_number 166
_space_group_name_Hall '-R 3 2"'
loop_
_atom_site_label
_atom_site_type_symbol
_atom_site_fract_x
_atom_site_fract_y
_atom_site_fract_z
Cs1 Cs 0.0000 0.0000 0.0000
H1 H 0.0000 0.0000 0.2020
Pd1 Pd 0.0000 0.0000 0.5000
```

Energy above the lowest structure with this stoichiometry: 52.09 kJ/mol of atoms
Crystal system: trigonal

---

(3)
The following is a PBE calculation of a geometry-optimized Cs2H4Pd structure, from the Alexandria database.

CIF file:
```
data_Cs2H4Pd
_chemical_formula_sum 'Cs4 H8 Pd2'
_cell_length_a 6.182
_cell_length_b 6.182
_cell_length_c 8.897
_cell_angle_alpha 90.00
_cell_angle_beta 90.00
_cell_angle_gamma 90.00
_space_group_name_H-M_alt 'P 42/m n m'
_space_group_IT_number 136
_space_group_name_Hall '-P 4n 2n'
loop_
_atom_site_label
_atom_site_type_symbol
_atom_site_fract_x
_atom_site_fract_y
_atom_site_fract_z
Cs1 Cs 0.000 0.500 0.250
H1 H 0.000 0.000 0.187
H2 H 0.191 0.191 0.000
Pd1 Pd 0.000 0.000 0.000
```

Crystal system: tetragonal

---

(4)
The following is a PBE calculation of a geometry-optimized Cs3H4Pd structure, from the Alexandria database.

CIF file:
```
data_Cs3H4Pd
_chemical_formula_sum 'Cs6 H8 Pd2'
_cell_length_a 6.215
_cell_length_b 10.651
_cell_length_c 5.810
_cell_angle_alpha 90.00
_cell_angle_beta 90.00
_cell_angle_gamma 90.00
_space_group_name_H-M_alt 'I m m 2'
_space_group_IT_number 44
loop_
_space_group_symop_operation_xyz
'x,y,z'
'-x,-y,z'
'-x,y,z'
'x,-y,z'
'x+1/2,y+1/2,z+1/2'
'-x+1/2,-y+1/2,z+1/2'
'-x+1/2,y+1/2,z+1/2'
'x+1/2,-y+1/2,z+1/2'
loop_
_atom_site_label
_atom_site_type_symbol
_atom_site_fract_x
_atom_site_fract_y
_atom_site_fract_z
Cs1 Cs 0.000 0.000 0.000
Cs2 Cs 0.000 0.254 0.511
H1 H 0.000 0.339 0.010
H2 H 0.227 0.000 0.495
Pd1 Pd 0.000 0.500 0.004
```

Crystal system: orthorhombic

---

(5)
The following is a PBE calculation of a geometry-optimized Cs3H4Pd2 structure, from the Alexandria database.

CIF file:
```
data_Cs3H4Pd2
_chemical_formula_sum 'Cs12 H16 Pd8'
_cell_length_a 12.042
_cell_length_b 11.682
_cell_length_c 6.363
_cell_angle_alpha 90.00
_cell_angle_beta 93.06
_cell_angle_gamma 90.00
_space_group_name_H-M_alt 'C 1 2/c 1'
_space_group_IT_number 15
loop_
_space_group_symop_operation_xyz
'x,y,z'
'-x,-y,-z'
'-x,y,-z+1/2'
'x,-y,z+1/2'
'x+1/2,y+1/2,z'
'-x+1/2,-y+1/2,-z'
'-x+1/2,y+1/2,-z+1/2'
'x+1/2,-y+1/2,z+1/2'
loop_
_atom_site_label
_atom_site_type_symbol
_atom_site_fract_x
_atom_site_fract_y
_atom_site_fract_z
Cs1 Cs 0.000 0.110 0.250
Cs2 Cs 0.138 0.377 0.595
H1 H 0.103 0.342 0.073
H2 H 0.121 0.132 0.814
Pd1 Pd 0.243 0.350 0.121
```

Energy above the lowest structure with this stoichiometry: 7.23 kJ/mol of atoms
Crystal system: monoclinic

---

(6)
The following is a PBE calculation of a geometry-optimized Cs3H12Pd5 structure, from the Alexandria database.

CIF file:
```
data_Cs3H12Pd5
_chemical_formula_sum 'Cs24 H96 Pd40'
_cell_length_a 12.926
_cell_length_b 12.926
_cell_length_c 12.926
_cell_angle_alpha 90.00
_cell_angle_beta 90.00
_cell_angle_gamma 90.00
_space_group_name_H-M_alt 'I a -3 d'
_space_group_IT_number 230
_space_group_name_Hall '-I 4bd 2c 3'
loop_
_atom_site_label
_atom_site_type_symbol
_atom_site_fract_x
_atom_site_fract_y
_atom_site_fract_z
Cs1 Cs 0.000 0.250 0.125
H1 H 0.013 0.125 0.936
Pd1 Pd 0.000 0.000 0.000
Pd2 Pd 0.000 0.250 0.375
```

Crystal system: cubic

---

The records above give, respectively, total DFT energy (no corrections) values of -26.8 -35.4 -44.8 -44.8 -109.3 -541.4 eV for the cell shown.
The records above give, respectively, density of states at the Fermi level values of 0.206 0.557 0.000 0.381 0.243 0.271 states/eV per atom.